DFT (PBE with a Hubbard U) results for a geometry-optimized Ac2HoMo3O12 structure.

```
Ac2HoMo3O12
1.0
6.804 -0.301 -0.213
3.098 6.065 -0.213
3.098 1.803 5.794
O Mo Ho Ac
12 3 1 2
direct
0.133 0.728 0.728
0.434 0.855 0.855
0.566 0.145 0.145
0.855 0.855 0.434
0.855 0.434 0.855
0.272 0.867 0.272
0.145 0.145 0.566
0.272 0.272 0.867
0.145 0.566 0.145
0.867 0.272 0.272
0.728 0.133 0.728
0.728 0.728 0.133
0.000 0.500 0.000
0.000 0.000 0.500
0.500 0.000 0.000
0.000 0.000 0.000
0.616 0.616 0.616
0.384 0.384 0.384
```

Computed properties:
**Raw total energy**: -7.5452 eV per atom